Entry 1:
First-principles (PBE) data for crystalline SrCa2SiN at its relaxed geometry, as listed in Alexandria.

Calculated values
**Total energy**: -4.433 eV/atom

abc: 4.813 4.813 5.180
angles: 90.00 90.00 90.00
Atoms (fractional coordinates):
Sr 0.000 0.000 0.500
Ca 0.000 0.500 0.000
Ca 0.500 0.000 0.000
Si 0.500 0.500 0.500
N 0.000 0.000 0.000

---

Entry 2:
First-principles (PBE) data for crystalline Ca2Ag3Hg2 at its relaxed geometry, as listed in Alexandria.

Calculated values
**DFT formation energy**: -0.309 eV/atom
**Total energy**: -2.189 eV/atom

abc: 4.615 5.791 7.195
angles: 106.97 90.00 113.48
Atoms (fractional coordinates):
Ca 0.867 0.735 0.241
Ca 0.133 0.265 0.759
Ag 0.500 0.000 0.000
Ag 0.608 0.217 0.427
Ag 0.392 0.783 0.573
Hg 0.837 0.674 0.787
Hg 0.163 0.326 0.213

---

Entry 3:
First-principles (PBE) data for crystalline LiGd2Sb at its relaxed geometry, as listed in Alexandria.

Calculated values
**Relative energy among the computed polymorphs**: 0.0782 eV/atom
**Total energy**: -9.039 eV/atom

abc: 5.264 5.264 5.264
angles: 60.00 60.00 60.00
Site moments in Bohr magnetons follow the coordinates.
Atoms (fractional coordinates):
Sb 0.000 0.000 0.000  -0.06
Gd 0.250 0.250 0.250  7.25
Gd 0.750 0.750 0.750  7.25
Li 0.500 0.500 0.500  0.00

---

Entry 4:
First-principles (PBE) data for crystalline Na12SnAu6 at its relaxed geometry, as listed in Alexandria.

Calculated values
**Relative energy among the computed polymorphs**: 0.0000 eV/atom
**DFT formation energy**: -0.225 eV/atom
**Total energy**: -2.304 eV/atom

abc: 7.763 7.763 7.763
angles: 88.52 88.52 88.52
Atoms (fractional coordinates):
Na 0.472 0.186 0.585
Na 0.186 0.585 0.472
Na 0.585 0.472 0.186
Na 0.528 0.814 0.415
Na 0.814 0.415 0.528
Na 0.415 0.528 0.814
Na 0.852 0.973 0.617
Na 0.383 0.148 0.027
Na 0.027 0.383 0.148
Na 0.148 0.027 0.383
Na 0.617 0.852 0.973
Na 0.973 0.617 0.852
Sn 0.000 0.000 0.000
Au 0.114 0.266 0.741
Au 0.734 0.259 0.886
Au 0.259 0.886 0.734
Au 0.886 0.734 0.259
Au 0.266 0.741 0.114
Au 0.741 0.114 0.266

---

Entry 5:
First-principles (PBE) data for crystalline Cs2UPtS5 at its relaxed geometry, as listed in Alexandria.

Calculated values
**Total energy**: -5.392 eV/atom

abc: 4.166 10.694 14.377
angles: 90.00 90.00 101.23
Site moments in Bohr magnetons follow the coordinates.
Atoms (fractional coordinates):
Cs 0.877 0.754 0.830  0.00
Cs 0.119 0.238 0.691  0.00
Cs 0.123 0.246 0.330  0.00
Cs 0.881 0.762 0.191  0.00
U 0.792 0.584 0.521  0.72
U 0.208 0.416 0.021  0.72
Pt 0.601 0.201 0.913  -0.03
Pt 0.399 0.799 0.413  -0.03
S 0.325 0.649 0.017  -0.04
S 0.714 0.428 0.907  -0.03
S 0.510 0.019 0.828  -0.02
S 0.301 0.602 0.638  -0.03
S 0.915 0.830 0.479  -0.03
S 0.675 0.351 0.517  -0.04
S 0.286 0.572 0.407  -0.03
S 0.490 0.981 0.328  -0.02
S 0.699 0.398 0.138  -0.03
S 0.085 0.170 0.979  -0.03

---

Entry 6:
First-principles (PBE) data for crystalline SiHgHAu2 at its relaxed geometry, as listed in Alexandria.

Calculated values
**Total energy**: -2.969 eV/atom

abc: 5.003 5.003 3.371
angles: 90.00 90.00 90.00
Atoms (fractional coordinates):
H 0.000 0.000 0.500
Si 0.000 0.000 0.000
Au 0.000 0.500 0.000
Au 0.500 0.000 0.000
Hg 0.500 0.500 0.500

---

Entry 7:
First-principles (PBE) data for crystalline Pm8NiSe3I4 at its relaxed geometry, as listed in Alexandria.

Calculated values
**Total energy**: -4.960 eV/atom

abc: 8.531 9.105 8.530
angles: 117.94 120.00 90.00
Atoms (fractional coordinates):
Pm 0.218 0.691 0.973
Pm 0.219 0.691 0.437
Pm 0.268 0.305 0.536
Pm 0.754 0.691 0.973
Pm 0.246 0.309 0.027
Pm 0.732 0.695 0.464
Pm 0.781 0.309 0.563
Pm 0.782 0.309 0.027
Ni 0.000 0.500 0.000
Se 0.500 0.500 0.000
Se 0.500 0.500 0.500
Se 0.000 0.500 0.500
I 0.500 0.000 0.000
I 0.500 0.000 0.500
I 0.000 0.000 0.000
I 0.000 0.000 0.500

---

Entry 8:
First-principles (PBE) data for crystalline GdTmPa at its relaxed geometry, as listed in Alexandria.

Calculated values
**Relative energy among the computed polymorphs**: 0.0270 eV/atom
**DFT formation energy**: 0.141 eV/atom
**Total energy**: -9.209 eV/atom

abc: 3.395 3.395 7.871
angles: 102.45 102.45 90.00
Site moments in Bohr magnetons follow the coordinates.
Atoms (fractional coordinates):
Gd 0.010 0.010 0.020  7.10
Pa 0.667 0.667 0.335  -0.33
Tm 0.323 0.323 0.645  0.00

---

Entry 9:
First-principles (PBE) data for crystalline Ca2ReSi at its relaxed geometry, as listed in Alexandria.

Calculated values
**Total energy**: -5.341 eV/atom

abc: 5.851 5.851 5.851
angles: 143.82 129.42 63.75
Atoms (fractional coordinates):
Ca 0.030 0.030 0.000
Ca 0.737 0.237 0.500
Re 0.442 0.442 0.000
Si 0.291 0.791 0.500

---

Entry 10:
First-principles (PBE) data for crystalline Sm2DyTh3Sb6 at its relaxed geometry, as listed in Alexandria.

Calculated values
**Total energy**: -6.129 eV/atom

abc: 4.482 8.928 10.004
angles: 102.74 102.94 90.00
Atoms (fractional coordinates):
Sm 0.834 0.667 0.667
Sm 0.166 0.333 0.333
Dy 0.500 0.000 0.000
Th 0.500 0.500 0.000
Th 0.832 0.167 0.665
Th 0.168 0.833 0.335
Sb 0.336 0.916 0.672
Sb 0.667 0.581 0.335
Sb 0.664 0.084 0.328
Sb 0.000 0.244 0.000
Sb 0.000 0.756 0.000
Sb 0.333 0.419 0.665

---

Entry 11:
First-principles (PBE) data for crystalline InAg2Hg2 at its relaxed geometry, as listed in Alexandria.

Calculated values
**Relative energy among the computed polymorphs**: 0.0329 eV/atom
**DFT formation energy**: 0.072 eV/atom
**Total energy**: -1.737 eV/atom

abc: 8.439 8.439 3.141
angles: 90.00 90.00 90.00
Atoms (fractional coordinates):
Hg 0.175 0.675 0.500
Hg 0.675 0.825 0.500
Hg 0.825 0.325 0.500
Hg 0.325 0.175 0.500
Ag 0.378 0.878 0.000
Ag 0.878 0.622 0.000
Ag 0.622 0.122 0.000
Ag 0.122 0.378 0.000
In 0.000 0.000 0.000
In 0.500 0.500 0.000

---

Entry 12:
First-principles (PBE) data for crystalline Ac14HoTl at its relaxed geometry, as listed in Alexandria.

Calculated values
**DFT formation energy**: -0.009 eV/atom
**Total energy**: -4.038 eV/atom

abc: 7.809 7.809 11.145
angles: 90.00 90.00 90.00
Atoms (fractional coordinates):
Ac 0.375 0.625 0.500
Ac 0.876 0.124 0.500
Ac 0.873 0.624 0.000
Ac 0.876 0.626 0.500
Ac 0.376 0.127 0.000
Ac 0.374 0.124 0.500
Ac 0.624 0.875 0.758
Ac 0.624 0.875 0.242
Ac 0.125 0.376 0.758
Ac 0.125 0.376 0.242
Ac 0.125 0.875 0.759
Ac 0.125 0.875 0.241
Ac 0.625 0.375 0.757
Ac 0.625 0.375 0.243
Ho 0.875 0.125 0.000
Tl 0.375 0.625 0.000

---

| no. | mass density (Mg/m³) | density of states at the Fermi level (states/eV/cell) |
| --- | --- | --- |
| 1 | 2.90 | 4.8 |
| 2 | 7.99 | 3.7 |
| 3 | 7.13 | 5.2 |
| 4 | 5.60 | 7.2 |
| 5 | 4.54 | 10.9 |
| 6 | 12.27 | 2.7 |
| 7 | 6.76 | 8.8 |
| 8 | 10.71 | 5.1 |
| 9 | 5.42 | 3.8 |
| 10 | 8.26 | 6.1 |
| 11 | 10.86 | 3.7 |
| 12 | 8.67 | 21.8 |